The following is a PBE calculation of a relaxed structure of Ac3InAg, from Alexandria.

```
10
Lattice="-1.587 0.687 5.495 2.910 -4.735 1.433 7.992 6.286 4.541" Properties=species:S:1:pos:R:3 pbc="T T T"
Ac 0.514 0.123 5.110
Ac 7.007 4.515 6.436
Ac 3.779 2.332 5.777
Ac 2.866 -2.518 3.100
Ac 7.773 2.562 9.921
Ac 6.094 -0.335 3.759
In 3.596 -1.144 6.159
In 4.691 3.829 8.872
Ag 6.937 1.116 6.841
Ag 2.936 0.881 2.695
```

## Properties
total moment = 0.000 μB/atom
energy above the lowest structure with this stoichiometry = 0.0 meV per atom
theoretical density = 8.44 g/cm³
calculated formation energy = -24.23 kJ per mole of atoms